Compound: Ho2PbO2
Source: Alexandria via LeMat-Bulk
Functional: PBE
Structure: relaxed

Uncorrected formation energy ... -2.5771 eV per atom
Calculated volume ... 20.685 A^3/atom
ρ ... 9.14 g cm⁻³
Calculated total energy ... -35.67 eV per cell

Geometry as CIF:
```
data_Ho2PbO2
_chemical_formula_sum 'Ho2 Pb1 O2'
_symmetry_space_group_name_H-M 'P 1'
_symmetry_Int_Tables_number 1
_cell_length_a 7.564
_cell_length_b 7.564
_cell_length_c 7.564
_cell_angle_alpha 150.70
_cell_angle_beta 150.70
_cell_angle_gamma 41.92
loop_
_symmetry_equiv_pos_as_xyz
'x,y,z'
loop_
_atom_site_label
_atom_site_type_symbol
_atom_site_fract_x
_atom_site_fract_y
_atom_site_fract_z
_atom_site_occupancy
Ho1 Ho 0.171 0.171 0.000 1
Ho2 Ho 0.829 0.829 0.000 1
Pb1 Pb 0.500 0.500 0.000 1
O1 O 0.250 0.750 0.500 1
O2 O 0.750 0.250 0.500 1
```